1.
This record from Alexandria via LeMat-Bulk describes a geometry-optimized CdAgSn2 structure. The functional is PBE.

The calculation puts the calculated total energy at -2.863 eV per atom.

Structure (CIF):
```
data_CdAgSn2
_space_group_name_H-M_alt 'P 4/m m m'
_space_group_IT_number 123
_space_group_name_Hall '-P 4 2'
_cell_length_a 4.653
_cell_length_b 4.653
_cell_length_c 4.418
_cell_angle_alpha 90.00
_cell_angle_beta 90.00
_cell_angle_gamma 90.00
loop_
_atom_site_label
_atom_site_fract_x
_atom_site_fract_y
_atom_site_fract_z
Cd1 0.000 0.000 0.000
Ag1 0.500 0.500 0.000
Sn1 0.000 0.500 0.500
```

---

2.
This record from Alexandria via LeMat-Bulk describes a geometry-optimized Cd4Ag5Sn structure. The functional is PBE.

The calculation puts the calculated total energy at -2.083 eV per atom.

Structure (CIF):
```
data_Cd4Ag5Sn
_space_group_name_H-M_alt 'I 4'
_space_group_IT_number 79
_cell_length_a 9.193
_cell_length_b 9.193
_cell_length_c 5.205
_cell_angle_alpha 90.00
_cell_angle_beta 90.00
_cell_angle_gamma 90.00
loop_
_space_group_symop_operation_xyz
'x,y,z'
'-y,x,z'
'-x,-y,z'
'y,-x,z'
'x+1/2,y+1/2,z+1/2'
'-y+1/2,x+1/2,z+1/2'
'-x+1/2,-y+1/2,z+1/2'
'y+1/2,-x+1/2,z+1/2'
loop_
_atom_site_label
_atom_site_fract_x
_atom_site_fract_y
_atom_site_fract_z
Cd1 0.043 0.663 0.000
Ag1 0.000 0.000 0.245
Ag2 0.158 0.764 0.496
Sn1 0.000 0.000 0.751
```

---

3.
This record from Alexandria via LeMat-Bulk describes a geometry-optimized CdAg5Sn structure. The functional is PBE.

The calculation puts the calculated total energy at -2.643 eV per atom.

Structure (CIF):
```
data_CdAg5Sn
_space_group_name_H-M_alt 'P 4/m m m'
_space_group_IT_number 123
_space_group_name_Hall '-P 4 2'
_cell_length_a 4.721
_cell_length_b 4.721
_cell_length_c 6.520
_cell_angle_alpha 90.00
_cell_angle_beta 90.00
_cell_angle_gamma 90.00
loop_
_atom_site_label
_atom_site_fract_x
_atom_site_fract_y
_atom_site_fract_z
Cd1 0.000 0.000 0.000
Ag1 0.000 0.000 0.500
Ag2 0.000 0.500 0.236
Sn1 0.500 0.500 0.500
```

---

- Which value of calculated total energy does entry 2 give?
  -2.083 eV per atom

---

- What is the formula in the first record?
  CdAgSn2